The following is a DFT calculation (PBE) of a geometry-optimized GdTmMg2Au4 structure.

```
8
Lattice="4.911 0.000 0.000 0.000 6.793 0.000 0.000 0.000 4.932" Properties=species:S:1:pos:R:3 pbc="T T T"
Gd 0.000 0.000 0.000
Tm 2.456 3.397 2.566
Mg 0.000 3.397 0.036
Mg 2.456 0.000 2.515
Au 0.000 1.739 2.465
Au 0.000 5.055 2.465
Au 2.456 1.750 0.104
Au 2.456 5.043 0.104
```

Output
**Final energy**: -3.9417 eV/atom
**SG**: Pmm2